The following is a PBE-GGA calculation of Pm2Ho7Th after structural relaxation, from Alexandria via LeMat-Bulk.

Cell and atoms, written as POSCAR:
```
Pm2Ho7Th
1.0
3.4698 0.0000 0.0000
0.0000 13.9235 -4.7242
0.0000 -10.4978 10.2947
Ho Th Pm
7 1 2
direct
0.5000 0.3423 0.1474
0.0000 0.1858 0.8142
0.0000 0.8142 0.1858
0.5000 0.8526 0.6577
0.5000 0.1474 0.3423
0.5000 0.5000 0.5000
0.5000 0.6577 0.8526
0.0000 0.0000 0.0000
0.5000 0.7060 0.2940
0.5000 0.2940 0.7060
```

Output
DFT formation energy = 0.16 eV/atom
Volume = 32.53 A^3/atom
E = -4.732 eV per atom



The following is a PBE-GGA calculation of Pm3HoTh after structural relaxation, from Alexandria via LeMat-Bulk.

Cell and atoms, written as POSCAR:
```
Pm3HoTh
1.0
3.4283 0.0000 0.0000
0.0000 8.6422 -2.0295
0.0000 -4.9699 7.3557
Pm Ho Th
3 1 1
direct
0.5000 0.6261 0.8486
0.0000 0.2238 0.7762
0.5000 0.1514 0.3739
0.5000 0.0525 0.9475
0.0000 0.5742 0.4258
```

Output
DFT formation energy = 0.42 eV/atom
Volume = 36.67 A^3/atom
E = -4.834 eV per atom



The following is a PBE-GGA calculation of Pm4Ho15Th after structural relaxation, from Alexandria via LeMat-Bulk.

Cell and atoms, written as POSCAR:
```
Pm4Ho15Th
1.0
-0.3068 0.3723 -5.0108
4.7810 -1.5224 -0.4059
-7.6823 -23.7794 -1.2965
Ho Pm Th
15 4 1
direct
0.0000 0.5000 0.9020
0.5000 0.0000 0.5000
0.0000 0.5000 0.0980
0.5000 0.0000 0.9020
0.5000 0.5000 0.6003
0.5000 0.5000 0.8004
0.0000 0.5000 0.5000
0.5000 0.5000 0.1996
0.5000 0.0000 0.0980
0.5000 0.5000 0.0000
0.5000 0.5000 0.3997
0.5000 0.0000 0.2994
0.0000 0.5000 0.7006
0.5000 0.0000 0.7006
0.0000 0.5000 0.2994
0.0000 0.0000 0.3998
0.0000 0.0000 0.6002
0.0000 0.0000 0.1990
0.0000 0.0000 0.8010
0.0000 0.0000 0.0000
```

Output
DFT formation energy = 0.02 eV/atom
Volume = 31.71 A^3/atom
E = -4.732 eV per atom



The following is a PBE-GGA calculation of Pm7Ho3Th after structural relaxation, from Alexandria via LeMat-Bulk.

Cell and atoms, written as POSCAR:
```
Pm7Ho3Th
1.0
9.7315 -2.4057 2.0025
-5.6106 8.3032 -2.0018
2.5027 -1.7466 12.1513
Ho Pm Th
6 14 2
direct
0.6680 0.3350 0.2266
0.0000 0.0000 0.5000
0.3320 0.6650 0.7734
0.0000 0.0000 0.0000
0.3351 0.6680 0.2734
0.6649 0.3320 0.7266
0.2668 0.2669 0.7500
0.8320 0.1599 0.7759
0.1598 0.8320 0.7241
0.8402 0.1680 0.2759
0.0890 0.4208 0.0283
0.9110 0.5792 0.9717
0.0865 0.4164 0.5254
0.5795 0.9113 0.5282
0.5839 0.9137 0.0254
0.7332 0.7331 0.2500
0.4205 0.0887 0.4718
0.1680 0.8401 0.2241
0.4161 0.0863 0.9746
0.9135 0.5836 0.4746
0.5000 0.5000 0.5000
0.5000 0.5000 0.0000
```

Output
DFT formation energy = 0.19 eV/atom
Volume = 35.18 A^3/atom
E = -4.753 eV per atom



Look up the E of the fourth one.
-4.753 eV per atom



Please write out number 2 again, unchanged.
The following is a PBE-GGA calculation of Pm3HoTh after structural relaxation, from Alexandria via LeMat-Bulk.

Cell and atoms, written as POSCAR:
```
Pm3HoTh
1.0
3.4283 0.0000 0.0000
0.0000 8.6422 -2.0295
0.0000 -4.9699 7.3557
Pm Ho Th
3 1 1
direct
0.5000 0.6261 0.8486
0.0000 0.2238 0.7762
0.5000 0.1514 0.3739
0.5000 0.0525 0.9475
0.0000 0.5742 0.4258
```

Output
DFT formation energy = 0.42 eV/atom
Volume = 36.67 A^3/atom
E = -4.834 eV per atom



Which formula does entry 1 have?
Pm2Ho7Th